SrCaTa after structural relaxation, computed with GGA-PBE.

abc: 3.2574 5.0448 11.0904
angles: 90.00 90.00 90.00
Last column: nearest neighbours and their distance in Å.
Space group Imm2 (No. 44)
Unique sites:
Sr  0.0000  0.0000  0.0000 [2 per cell]  2 Sr 3.26, 1 Ca 3.40, 4 Ta 3.51
Ca  0.0000  0.0000  0.3063 [2 per cell]  2 Ca 3.26, 4 Ta 3.39, 1 Sr 3.40
Ta  0.0000  0.0000  0.6636 [2 per cell]  2 Ta 3.26, 4 Ca 3.39, 4 Sr 3.51

Output
- Energy of formation from the pure elements: 0.9595 eV per atom
- Final energy: -4.22 eV per atom
- Density of states at the Fermi level: 8.06 states/eV/cell
- ρ: 5624 kg/m3



Sr2CaTa after structural relaxation, computed with GGA-PBE.

abc: 5.2414 5.2414 5.2786
angles: 90.00 90.00 90.00
Last column: nearest neighbours and their distance in Å.
Space group P4/mmm (No. 123)
Unique sites:
Sr  0.0000  0.5000  0.0000 [2 per cell]  4 Sr 3.71, 4 Ta 3.72, 4 Ca 3.72
Ca  0.0000  0.0000  0.5000 [1 per cell]  4 Ta 3.71, 8 Sr 3.72
Ta  0.5000  0.5000  0.5000 [1 per cell]  4 Ca 3.71, 8 Sr 3.72

Output
- Energy of formation from the pure elements: 0.8725 eV per atom
- Final energy: -3.43 eV per atom
- Density of states at the Fermi level: 2.01 states/eV/cell
- ρ: 4538 kg/m3



SrCaTa after structural relaxation, computed with GGA-PBE.

abc: 3.4101 3.4101 8.9103
angles: 90.00 90.00 120.00
Last column: nearest neighbours and their distance in Å.
Space group P3m1 (No. 156)
Unique sites:
Sr  0.0000  0.0000  0.0000 [1 per cell]  3 Ta 3.34, 6 Sr 3.41
Ca  0.6667  0.3333  0.5906 [1 per cell]  3 Ta 3.23, 6 Ca 3.41
Ta  0.3333  0.6667  0.3027 [1 per cell]  3 Ca 3.23, 3 Sr 3.34, 6 Ta 3.41

Output
- Energy of formation from the pure elements: 0.8323 eV per atom
- Final energy: -4.35 eV per atom
- Density of states at the Fermi level: 3.42 states/eV/cell
- ρ: 5712 kg/m3



Sr2CaTa after structural relaxation, computed with GGA-PBE.

abc: 8.3010 8.3010 8.3010
angles: 90.00 90.00 90.00
Last column: nearest neighbours and their distance in Å.
Space group Fm-3m (No. 225)
Unique sites:
Sr  0.2500  0.2500  0.2500 [8 per cell]  4 Ta 3.59, 4 Ca 3.59
Ca  0.0000  0.0000  0.0000 [4 per cell]  8 Sr 3.59
Ta  0.0000  0.0000  0.5000 [4 per cell]  8 Sr 3.59

Output
- Energy of formation from the pure elements: 0.8796 eV per atom
- Final energy: -3.42 eV per atom
- Density of states at the Fermi level: 13.02 states/eV/cell
- ρ: 4602 kg/m3



SrCaTa4 after structural relaxation, computed with GGA-PBE.

abc: 8.2965 8.2965 8.2965
angles: 90.00 90.00 90.00
Last column: nearest neighbours and their distance in Å.
Space group F-43m (No. 216)
Unique sites:
Sr  0.0000  0.0000  0.0000 [4 per cell]  12 Ta 3.44, 4 Ca 3.59
Ca  0.2500  0.2500  0.2500 [4 per cell]  12 Ta 3.44, 4 Sr 3.59
Ta  0.1267  0.1267  0.6267 [16 per cell]  6 Ta 2.89-2.97

Output
- Energy of formation from the pure elements: 0.6875 eV per atom
- Final energy: -7.83 eV per atom
- Density of states at the Fermi level: 37.58 states/eV/cell
- ρ: 9904 kg/m3



Sr2CaTa after structural relaxation, computed with GGA-PBE.

abc: 3.5446 5.6896 7.2567
angles: 90.00 103.76 90.00
Last column: nearest neighbours and their distance in Å.
Space group Pm (No. 6)
Unique sites:
Sr  0.0000  0.0000  0.0000 [1 per cell]  2 Sr 3.54, 3 Ca 3.55-3.95, 4 Ta 3.67-3.69
Sr  0.3276  0.5000  0.6745 [1 per cell]  2 Sr 3.54, 3 Ta 3.67-3.82, 4 Ca 3.73-3.75
Ca  0.7058  0.0000  0.4394 [1 per cell]  2 Ta 3.25, 2 Ca 3.54, 2 Sr 3.55-3.58
Ta  0.6115  0.5000  0.2160 [1 per cell]  2 Ca 3.25, 2 Ta 3.54

Output
- Energy of formation from the pure elements: 0.8148 eV per atom
- Final energy: -3.49 eV per atom
- Density of states at the Fermi level: 3.27 states/eV/cell
- ρ: 4629 kg/m3



SrCaTaTi2 after structural relaxation, computed with GGA-PBE.

abc: 4.8419 4.8419 5.0444
angles: 90.00 90.00 90.00
Last column: nearest neighbours and their distance in Å.
Space group P4/mmm (No. 123)
Unique sites:
Sr  0.0000  0.0000  0.0000 [1 per cell]  4 Ti 2.42, 2 Ca 2.52
Ca  0.0000  0.0000  0.5000 [1 per cell]  2 Sr 2.52
Ta  0.5000  0.5000  0.5000 [1 per cell]  4 Ca 3.42, 8 Ti 3.50
Ti  0.0000  0.5000  0.0000 [2 per cell]  2 Sr 2.42

Output
- Energy of formation from the pure elements: 2.0168 eV per atom
- Final energy: -4.25 eV per atom
- Density of states at the Fermi level: 7.17 states/eV/cell
- ρ: 5678 kg/m3



Sr2CaYTa after structural relaxation, computed with GGA-PBE.

abc: 5.9396 5.9396 5.7939
angles: 90.00 90.00 90.00
Last column: nearest neighbours and their distance in Å.
Space group P4/mmm (No. 123)
Unique sites:
Sr  0.0000  0.5000  0.0000 [2 per cell]  2 Ta 2.97
Ca  0.0000  0.0000  0.5000 [1 per cell]  2 Ta 2.90
Y  0.5000  0.5000  0.5000 [1 per cell]  8 Sr 4.15, 4 Ca 4.20
Ta  0.0000  0.0000  0.0000 [1 per cell]  2 Ca 2.90, 4 Sr 2.97

Output
- Energy of formation from the pure elements: 1.0791 eV per atom
- Final energy: -3.66 eV per atom
- Density of states at the Fermi level: 5.58 states/eV/cell
- ρ: 3941 kg/m3



- Among the records above, which one has the lowest density of states at the Fermi level?
  number 2



- Which value of energy of formation from the pure elements does entry 2 give?
  0.8725 eV per atom